# 1
# CdCu2Os meta-GGA SCAN PBEsol geometry
# Energy of formation, eV per atom: 0.30
# Final energy, eV/atom: -32.871
data_CdCu2Os
_chemical_formula_sum 'Cd3 Cu6 Os3'
_space_group_name_H-M_alt 'R -3 m'
_space_group_IT_number 166
_space_group_name_Hall '-R 3 2"'
_cell_length_a 2.7129
_cell_length_b 2.7129
_cell_length_c 26.3415
_cell_angle_alpha 90.00
_cell_angle_beta 90.00
_cell_angle_gamma 120.00
loop_
_atom_site_label
_atom_site_type_symbol
_atom_site_fract_x
_atom_site_fract_y
_atom_site_fract_z
Cd1 Cd 0.0000 0.0000 0.0000
Cu1 Cu 0.0000 0.0000 0.2459
Os1 Os 0.0000 0.0000 0.5000

# 2
# CdCu2Os meta-GGA SCAN PBEsol geometry
# Energy of formation, eV per atom: 0.56
# Final energy, eV/atom: -32.610
data_CdCu2Os
_chemical_formula_sum 'Cd2 Cu4 Os2'
_space_group_name_H-M_alt 'I -4 m 2'
_space_group_IT_number 119
_space_group_name_Hall 'I -4 -2'
_cell_length_a 3.735
_cell_length_b 3.735
_cell_length_c 8.004
_cell_angle_alpha 90.00
_cell_angle_beta 90.00
_cell_angle_gamma 90.00
loop_
_atom_site_label
_atom_site_type_symbol
_atom_site_fract_x
_atom_site_fract_y
_atom_site_fract_z
Cd1 Cd 0.000 0.000 0.000
Cu1 Cu 0.000 0.000 0.500
Cu2 Cu 0.000 0.500 0.250
Os1 Os 0.000 0.500 0.750

# 3
# Cd2CuP meta-GGA SCAN PBEsol geometry
# Energy of formation, eV per atom: 0.36
# Final energy, eV/atom: -21.247
data_Cd2CuP
_chemical_formula_sum 'Cd6 Cu3 P3'
_space_group_name_H-M_alt 'R -3 m'
_space_group_IT_number 166
_space_group_name_Hall '-R 3 2"'
_cell_length_a 2.9658
_cell_length_b 2.9658
_cell_length_c 26.7880
_cell_angle_alpha 90.00
_cell_angle_beta 90.00
_cell_angle_gamma 120.00
loop_
_atom_site_label
_atom_site_type_symbol
_atom_site_fract_x
_atom_site_fract_y
_atom_site_fract_z
Cd1 Cd 0.0000 0.0000 0.2452
Cu1 Cu 0.0000 0.0000 0.5000
P1 P 0.0000 0.0000 0.0000